Record 1
VASP calculation (GGA-PBEsol) on crystalline NaSrCo2Se at its relaxed geometry.

Computed properties:
**Calculated volume**: 118.6 Å³/cell
**ΔE_f (raw)**: 1.58 eV per atom
**M_tot**: 2.3 μB per formula unit

The structure in extended XYZ format:
```
5
Lattice="-4.051 0.459 -2.214 2.071 -1.070 -4.011 -1.078 -5.333 0.866" Properties=species:S:1:pos:R:3 pbc="T T T"
Co 1.036 -0.535 -2.005
Co -2.025 0.229 -1.107
Se -1.529 -2.972 -2.679
Na -0.539 -2.666 0.433
Sr 0.000 0.000 0.000
```

Record 2
VASP calculation (GGA-PBEsol) on crystalline NaSr2CoSe at its relaxed geometry.

Computed properties:
**Calculated volume**: 155.8 Å³/cell
**ΔE_f (raw)**: -0.27 eV per atom
**M_tot**: 0.4 μB per formula unit

The structure in extended XYZ format:
```
5
Lattice="4.347 0.000 0.000 0.000 5.987 0.000 0.000 0.000 5.987" Properties=species:S:1:pos:R:3 pbc="T T T"
Sr 0.000 2.993 0.000
Sr 0.000 0.000 2.993
Co 2.173 0.000 0.000
Se 0.000 0.000 0.000
Na 2.173 2.993 2.993
```

Record 3
VASP calculation (GGA-PBEsol) on crystalline NaCoSi3 at its relaxed geometry.

Computed properties:
**Calculated volume**: 84.6 Å³/cell
**ΔE_f (raw)**: 0.24 eV per atom
**M_tot**: 0.0 μB per formula unit

The structure in extended XYZ format:
```
5
Lattice="-2.486 -1.581 -3.255 0.666 -4.082 1.474 -3.557 0.341 2.551" Properties=species:S:1:pos:R:3 pbc="T T T"
Co 0.000 0.000 0.000
Si -1.243 -0.790 -1.627
Si -1.778 0.171 1.276
Si 0.333 -2.041 0.737
Na -2.689 -2.661 0.385
```